{"formula": "TbDyFe", "functional": "PBE-GGA", "state": "relaxed", "cell": [[0.000, 3.302, 3.302], [3.302, 0.000, 3.302], [3.302, 3.302, 0.000]], "species": ["Dy", "Tb", "Fe"], "fractional_positions": [[0.250, 0.250, 0.250], [0.750, 0.750, 0.750], [0.000, 0.000, 0.000]], "formation_enthalpy_0k_ev_per_atom": 0.204}

---

{"formula": "TbDyFe4", "functional": "PBE-GGA", "state": "relaxed", "cell": [[-2.533, -3.650, 2.538], [-2.631, 1.179, 4.227], [-5.116, -0.081, -0.065]], "species": ["Tb", "Dy", "Fe", "Fe", "Fe", "Fe"], "fractional_positions": [[0.250, 0.250, 0.250], [0.500, 0.500, 0.500], [0.875, 0.375, 0.875], [0.875, 0.875, 0.375], [0.375, 0.875, 0.875], [0.875, 0.875, 0.875]], "formation_enthalpy_0k_ev_per_atom": -0.066}

---

{"formula": "TbDyTlFe2", "functional": "PBE-GGA", "state": "relaxed", "cell": [[-0.617, -2.054, -3.270], [2.326, -5.996, 3.329], [-1.434, -5.886, 3.969]], "species": ["Tb", "Fe", "Fe", "Dy", "Tl"], "fractional_positions": [[0.000, 0.361, 0.361], [0.500, 0.789, 0.789], [0.500, 0.211, 0.211], [0.000, 0.639, 0.639], [0.500, 0.000, 0.000]]}

---

{"formula": "DyFeTc", "functional": "PBE-GGA", "state": "relaxed", "cell": [[0.000, 3.142, 3.142], [3.142, 0.000, 3.142], [3.142, 3.142, 0.000]], "species": ["Dy", "Fe", "Tc"], "fractional_positions": [[0.000, 0.000, 0.000], [0.250, 0.250, 0.250], [0.750, 0.750, 0.750]], "formation_enthalpy_0k_ev_per_atom": 1.297}

---

{"formula": "DyFeTc", "functional": "PBE-GGA", "state": "relaxed", "cell": [[-3.766, -2.060, -0.111], [-3.644, 2.145, 0.747], [-2.755, 0.735, -3.210]], "species": ["Tc", "Fe", "Dy"], "fractional_positions": [[0.750, 0.750, 0.750], [0.000, 0.000, 0.000], [0.250, 0.250, 0.250]], "formation_enthalpy_0k_ev_per_atom": 0.482}

---

{"formula": "DyTlFeTe3", "functional": "PBE-GGA", "state": "relaxed", "cell": [[7.903, -2.151, 0.000], [7.903, 2.151, 0.000], [0.000, 0.000, 11.318]], "species": ["Dy", "Dy", "Tl", "Tl", "Te", "Te", "Te", "Te", "Te", "Te", "Fe", "Fe"], "fractional_positions": [[0.000, 0.000, 0.000], [0.000, 0.000, 0.500], [0.756, 0.756, 0.250], [0.244, 0.244, 0.750], [0.631, 0.631, 0.933], [0.369, 0.369, 0.067], [0.926, 0.926, 0.750], [0.631, 0.631, 0.567], [0.074, 0.074, 0.250], [0.369, 0.369, 0.433], [0.529, 0.529, 0.750], [0.471, 0.471, 0.250]]}

---

{"formula": "DyTlFeTe3", "functional": "PBE-GGA", "state": "relaxed", "cell": [[-4.184, 1.396, 0.829], [-1.491, -9.225, 8.000], [4.461, 7.643, 9.644]], "species": ["Te", "Te", "Te", "Te", "Te", "Te", "Te", "Te", "Te", "Te", "Te", "Te", "Tl", "Tl", "Tl", "Tl", "Dy", "Dy", "Dy", "Dy", "Fe", "Fe", "Fe", "Fe"], "fractional_positions": [[0.250, 0.400, 0.561], [0.750, 0.462, 0.152], [0.250, 0.900, 0.939], [0.750, 0.100, 0.061], [0.250, 0.038, 0.652], [0.750, 0.600, 0.439], [0.750, 0.278, 0.803], [0.250, 0.538, 0.848], [0.250, 0.722, 0.197], [0.750, 0.962, 0.348], [0.750, 0.778, 0.697], [0.250, 0.222, 0.303], [0.250, 0.314, 0.007], [0.750, 0.186, 0.507], [0.250, 0.814, 0.493], [0.750, 0.686, 0.993], [0.750, 0.021, 0.816], [0.250, 0.979, 0.184], [0.250, 0.479, 0.316], [0.750, 0.521, 0.684], [0.750, 0.255, 0.200], [0.750, 0.755, 0.300], [0.250, 0.245, 0.700], [0.250, 0.745, 0.800]]}

---

{"formula": "DyTlFeTe3", "functional": "PBE-GGA", "state": "relaxed", "cell": [[9.483, 0.000, 0.000], [0.000, 4.248, 0.000], [-3.420, 0.000, 9.932]], "species": ["Dy", "Dy", "Te", "Te", "Te", "Te", "Te", "Te", "Fe", "Fe", "Tl", "Tl"], "fractional_positions": [[0.324, 0.750, 0.854], [0.676, 0.250, 0.146], [0.552, 0.250, 0.840], [0.448, 0.750, 0.160], [0.775, 0.250, 0.462], [0.916, 0.750, 0.163], [0.084, 0.250, 0.837], [0.225, 0.750, 0.538], [0.934, 0.750, 0.421], [0.066, 0.250, 0.579], [0.221, 0.250, 0.260], [0.779, 0.750, 0.740]]}

---

| no. | energy (eV per atom) | total magnetic moment (Bohr magnetons per cell) |
| --- | --- | --- |
| 1 | -5.642 | 0.129 |
| 2 | -7.144 | 6.708 |
| 3 | -5.791 | 1.565 |
| 4 | -6.460 | 4.054 |
| 5 | -7.275 | 0.795 |
| 6 | -4.742 | 7.975 |
| 7 | -4.677 | 15.657 |
| 8 | -4.761 | 7.396 |